An optimized crystal structure of BaCoAs2O6. Source: Alexandria, functional GGA+U.

Cell: 5.583 5.583 6.674 Å, 65.27 65.27 60.00°
Atoms (fractional coordinates):
O  0.504  0.289  0.300
O  0.496  0.711  0.700
O  0.907  0.504  0.300
O  0.711  0.093  0.700
O  0.289  0.907  0.300
O  0.093  0.496  0.700
Ba  0.000  0.000  0.000
Co  0.500  0.500  0.500
As  0.259  0.259  0.224
As  0.741  0.741  0.776

Summary:
Its final energy is -5.951 eV/atom. The space-group type is R-3. The density of states at the Fermi level comes out at 0.3629 states/eV per atom.